Density functional theory data (PBE) for crystalline CaZr2Cu2 at its relaxed geometry.

Values from the calculation:
electronic total energy = -5.16 eV/atom

abc: 6.1178 6.1178 6.1178
angles: 133.89 133.89 67.26
With the nearest neighbours (Å) after each atom.
Fractional positions:
Ca 0.0000 0.0000 0.0000  8 Cu 3.50, 10 Zr 3.59-3.71
Zr 0.3526 0.3526 0.0000  4 Cu 2.61
Zr 0.6474 0.6474 0.0000  4 Cu 2.61
Cu 0.2500 0.7500 0.5000  4 Zr 2.61
Cu 0.7500 0.2500 0.5000  4 Zr 2.61

=====

Density functional theory data (PBE) for crystalline Ca2ZrCu at its relaxed geometry.

Values from the calculation:
electronic total energy = -3.72 eV/atom

abc: 5.3997 5.3997 3.6268
angles: 90.00 90.00 90.00
With the nearest neighbours (Å) after each atom.
Fractional positions:
Ca 0.0000 0.5000 0.0000  4 Zr 3.25, 4 Cu 3.25, 2 Ca 3.63
Ca 0.5000 0.0000 0.0000  4 Zr 3.25, 4 Cu 3.25, 2 Ca 3.63
Zr 0.0000 0.0000 0.5000  8 Ca 3.25, 2 Zr 3.63
Cu 0.5000 0.5000 0.5000  8 Ca 3.25, 2 Cu 3.63

=====

Density functional theory data (PBE) for crystalline CaZrCu4 at its relaxed geometry.

Values from the calculation:
electronic total energy = -4.49 eV/atom

abc: 5.1706 5.1706 5.1706
angles: 60.00 60.00 60.00
With the nearest neighbours (Å) after each atom.
Fractional positions:
Ca 0.0000 0.0000 0.0000  12 Cu 3.03, 4 Zr 3.17
Zr 0.2500 0.2500 0.2500  12 Cu 3.03, 4 Ca 3.17
Cu 0.1261 0.6246 0.6246  6 Cu 2.58-2.59
Cu 0.6246 0.1261 0.6246  6 Cu 2.58-2.59
Cu 0.6246 0.6246 0.1261  6 Cu 2.58-2.59
Cu 0.6246 0.6246 0.6246  6 Cu 2.58-2.59

=====

Density functional theory data (PBE) for crystalline Ca2ZrCu at its relaxed geometry.

Values from the calculation:
electronic total energy = -4.08 eV/atom

abc: 3.4447 3.4427 9.2197
angles: 90.00 90.07 90.00
With the nearest neighbours (Å) after each atom.
Fractional positions:
Ca 0.0000 0.0000 0.0000  4 Ca 3.44, 4 Zr 3.55-3.56
Ca 0.4986 0.5000 0.3554  4 Cu 3.18, 1 Zr 3.35, 4 Ca 3.44
Zr 0.4985 0.5000 0.7190  4 Cu 2.76
Cu 0.9977 0.0000 0.5773  4 Zr 2.76

=====

Density functional theory data (PBE) for crystalline CaZr2Cu2 at its relaxed geometry.

Values from the calculation:
electronic total energy = -5.37 eV/atom

abc: 8.2501 8.2501 2.9529
angles: 90.00 90.00 90.00
With the nearest neighbours (Å) after each atom.
Fractional positions:
Ca 0.0000 0.0000 0.0000  2 Ca 2.95, 4 Zr 3.23
Ca 0.5000 0.5000 0.0000  2 Ca 2.95, 4 Zr 3.23
Zr 0.1306 0.3694 0.0000  6 Cu 2.79-2.88, 3 Zr 2.95-3.05
Zr 0.3694 0.8694 0.0000  6 Cu 2.79-2.88, 3 Zr 2.95-3.05
Zr 0.6306 0.1306 0.0000  6 Cu 2.79-2.88, 3 Zr 2.95-3.05
Zr 0.8694 0.6306 0.0000  6 Cu 2.79-2.88, 3 Zr 2.95-3.05
Cu 0.1663 0.6663 0.5000  6 Zr 2.79-2.88, 2 Cu 2.95
Cu 0.3337 0.1663 0.5000  6 Zr 2.79-2.88, 2 Cu 2.95
Cu 0.6663 0.8337 0.5000  6 Zr 2.79-2.88, 2 Cu 2.95
Cu 0.8337 0.3337 0.5000  6 Zr 2.79-2.88, 2 Cu 2.95

=====

Density functional theory data (PBE) for crystalline Ca2ZrCu at its relaxed geometry.

Values from the calculation:
electronic total energy = -3.60 eV/atom

abc: 5.3183 5.3183 5.3183
angles: 60.00 60.00 60.00
With the nearest neighbours (Å) after each atom.
Fractional positions:
Ca 0.2500 0.2500 0.2500  4 Cu 3.26, 4 Zr 3.26
Ca 0.7500 0.7500 0.7500  4 Zr 3.26, 4 Cu 3.26
Zr 0.0000 0.0000 0.0000  8 Ca 3.26
Cu 0.5000 0.5000 0.5000  8 Ca 3.26

=====

Density functional theory data (PBE) for crystalline Ca2ZrCu at its relaxed geometry.

Values from the calculation:
electronic total energy = -3.70 eV/atom

abc: 5.2046 5.2046 5.2046
angles: 60.00 60.00 60.00
With the nearest neighbours (Å) after each atom.
Fractional positions:
Ca 0.0000 0.0000 0.0000  4 Zr 3.19, 4 Ca 3.19
Ca 0.2500 0.2500 0.2500  4 Cu 3.19, 4 Ca 3.19
Zr 0.7500 0.7500 0.7500  4 Cu 3.19, 4 Ca 3.19
Cu 0.5000 0.5000 0.5000  4 Zr 3.19, 4 Ca 3.19

=====

Density functional theory data (PBE) for crystalline CaZrCu2 at its relaxed geometry.

Values from the calculation:
electronic total energy = -4.77 eV/atom

abc: 3.3972 3.3683 6.9596
angles: 90.00 90.12 90.00
With the nearest neighbours (Å) after each atom.
Fractional positions:
Ca 0.0000 0.0000 0.0000  8 Cu 3.15-3.16, 4 Ca 3.37-3.40, 2 Zr 3.48
Zr 0.0000 0.0000 0.5000  8 Cu 2.78
Cu 0.4989 0.5000 0.2953  4 Zr 2.78, 1 Cu 2.85
Cu 0.5011 0.5000 0.7047  4 Zr 2.78, 1 Cu 2.85

=====

Density functional theory data (PBE) for crystalline CaZrCu2 at its relaxed geometry.

Values from the calculation:
electronic total energy = -4.42 eV/atom

abc: 5.6190 5.6190 5.6190
angles: 138.27 138.27 60.49
With the nearest neighbours (Å) after each atom.
Fractional positions:
Ca 0.0000 0.0000 0.0000  8 Cu 2.83-3.15, 4 Zr 3.15
Zr 0.2500 0.7500 0.5000  8 Cu 2.83-3.15, 4 Ca 3.15
Cu 0.5000 0.5000 0.0000  4 Ca 2.83, 4 Zr 3.15, 4 Cu 3.15
Cu 0.7500 0.2500 0.5000  4 Zr 2.83, 4 Ca 3.15, 4 Cu 3.15

=====

Density functional theory data (PBE) for crystalline Ca2ZrCu at its relaxed geometry.

Values from the calculation:
electronic total energy = -3.66 eV/atom

abc: 6.7331 6.7331 6.7331
angles: 101.50 101.50 126.96
With the nearest neighbours (Å) after each atom.
Fractional positions:
Ca 0.0626 0.6250 0.9376  2 Cu 2.77
Ca 0.3750 0.3126 0.4376  2 Cu 2.77
Ca 0.6874 0.1250 0.0624  2 Cu 2.77
Ca 0.8750 0.9374 0.5624  2 Cu 2.77
Zr 0.2500 0.7500 0.5000  2 Cu 3.01
Zr 0.5000 0.5000 0.0000  2 Cu 3.01
Cu 0.0000 0.0000 0.0000  4 Ca 2.77, 2 Zr 3.01
Cu 0.7500 0.2500 0.5000  4 Ca 2.77, 2 Zr 3.01

=====

Density functional theory data (PBE) for crystalline CaZr2Cu2 at its relaxed geometry.

Values from the calculation:
electronic total energy = -5.39 eV/atom

abc: 7.9988 7.9988 3.1627
angles: 90.00 90.00 90.00
With the nearest neighbours (Å) after each atom.
Fractional positions:
Ca 0.0000 0.0000 0.0000  2 Ca 3.16, 4 Cu 3.16, 8 Zr 3.38
Ca 0.5000 0.5000 0.0000  2 Ca 3.16, 4 Cu 3.16, 8 Zr 3.38
Zr 0.1638 0.3362 0.5000  6 Cu 2.81-2.87
Zr 0.3362 0.8362 0.5000  6 Cu 2.81-2.87
Zr 0.6638 0.1638 0.5000  6 Cu 2.81-2.87
Zr 0.8362 0.6638 0.5000  6 Cu 2.81-2.87
Cu 0.1247 0.6247 0.0000  6 Zr 2.81-2.87, 1 Cu 2.82
Cu 0.3753 0.1247 0.0000  6 Zr 2.81-2.87, 1 Cu 2.82
Cu 0.6247 0.8753 0.0000  6 Zr 2.81-2.87, 1 Cu 2.82
Cu 0.8753 0.3753 0.0000  6 Zr 2.81-2.87, 1 Cu 2.82

=====

Density functional theory data (PBE) for crystalline CaZr4Cu at its relaxed geometry.

Values from the calculation:
electronic total energy = -6.21 eV/atom

abc: 5.9061 5.9061 5.9061
angles: 60.00 60.00 60.00
With the nearest neighbours (Å) after each atom.
Fractional positions:
Ca 0.0000 0.0000 0.0000  12 Zr 3.46, 4 Cu 3.62
Zr 0.3750 0.3750 0.3750  6 Zr 2.95
Zr 0.3750 0.3750 0.8751  6 Zr 2.95
Zr 0.3750 0.8751 0.3750  6 Zr 2.95
Zr 0.8751 0.3750 0.3750  6 Zr 2.95
Cu 0.7500 0.7500 0.7500  12 Zr 3.46, 4 Ca 3.62

=====

Density functional theory data (PBE) for crystalline Ca2ZrCu at its relaxed geometry.

Values from the calculation:
electronic total energy = -3.95 eV/atom

abc: 6.5655 6.5655 5.4317
angles: 114.41 114.41 30.41
With the nearest neighbours (Å) after each atom.
Fractional positions:
Ca 0.0000 0.0000 0.0000  4 Cu 3.22-3.23, 4 Ca 3.44-3.57, 2 Zr 3.53
Ca 0.2019 0.2019 0.7017  2 Cu 3.06, 4 Zr 3.42
Zr 0.8031 0.8031 0.3029  2 Cu 2.66
Cu 0.4806 0.4806 0.4815  2 Zr 2.66

=====

Density functional theory data (PBE) for crystalline Ca2ZrCu at its relaxed geometry.

Values from the calculation:
electronic total energy = -3.75 eV/atom

abc: 5.6874 5.6874 3.3964
angles: 90.00 90.00 109.22
With the nearest neighbours (Å) after each atom.
Fractional positions:
Ca 0.0000 0.5000 0.0000  4 Ca 3.29-3.40, 4 Zr 3.31, 4 Cu 3.31
Ca 0.5000 0.0000 0.0000  4 Ca 3.29-3.40, 4 Zr 3.31, 4 Cu 3.31
Zr 0.0000 0.0000 0.5000  2 Cu 3.29, 8 Ca 3.31, 2 Zr 3.40
Cu 0.5000 0.5000 0.5000  2 Zr 3.29, 8 Ca 3.31, 2 Cu 3.40

=====

Number 1: energy relative to the elements 0.30 eV per atom. Number 2: energy relative to the elements 0.44 eV per atom. Number 3: energy relative to the elements 0.00 eV per atom. Number 4: energy relative to the elements 0.08 eV per atom. Number 5: energy relative to the elements 0.08 eV per atom. Number 6: energy relative to the elements 0.56 eV per atom. Number 7: energy relative to the elements 0.47 eV per atom. Number 8: energy relative to the elements -0.08 eV per atom. Number 9: energy relative to the elements 0.27 eV per atom. Number 10: energy relative to the elements 0.50 eV per atom. Number 11: energy relative to the elements 0.07 eV per atom. Number 12: energy relative to the elements 0.51 eV per atom. Number 13: energy relative to the elements 0.21 eV per atom. Number 14: energy relative to the elements 0.42 eV per atom.